CdInPb: optimized geometry, GGA-PBEsol.

Geometry as POSCAR:
```
CdInPb
1.0
-3.0525 0.6187 1.0626
1.5223 -2.6516 1.2171
3.7689 5.5026 4.8764
Pb In Cd
1 1 1
direct
0.3375 0.3375 0.6750
0.6594 0.6594 0.3187
0.0031 0.0031 0.0063
```

Results
distance to the lowest polymorph of the same formula	26	meV/atom
crystal system	orthorhombic
formation energy from the elements	65.7	meV per atom
total magnetic moment	0.0	μB/cell



CdIn2Pb: optimized geometry, GGA-PBEsol.

Geometry as POSCAR:
```
CdIn2Pb
1.0
3.2935 0.0000 0.0000
0.0000 3.2935 0.0000
0.0000 0.0000 9.3714
In Pb Cd
2 1 1
direct
0.0000 0.0000 0.2699
0.0000 0.0000 0.7301
0.5000 0.5000 0.0000
0.5000 0.5000 0.5000
```

Results
crystal system	tetragonal
formation energy from the elements	28.3	meV per atom
total magnetic moment	0.0	μB/cell



CdIn2Pb: optimized geometry, GGA-PBEsol.

Geometry as POSCAR:
```
CdIn2Pb
1.0
-2.3600 2.1188 -0.9527
-2.0058 -2.7604 4.5851
2.8895 4.3193 2.4484
Cd Pb In
1 1 2
direct
0.0000 0.0000 0.5000
0.5000 0.0000 0.0000
0.2583 0.5166 0.2610
0.7417 0.4834 0.7390
```

Results
crystal system	monoclinic
formation energy from the elements	32.6	meV per atom
total magnetic moment	0.0	μB/cell



CdInPb2: optimized geometry, GGA-PBEsol.

Geometry as POSCAR:
```
CdInPb2
1.0
3.3954 0.0000 0.0000
1.6977 2.9405 0.0000
1.6977 0.9802 10.7236
Pb In Cd
2 1 1
direct
0.2471 0.2471 0.2588
0.7529 0.7529 0.7412
0.0000 0.0000 0.0000
0.5000 0.5000 0.5000
```

Results
distance to the lowest polymorph of the same formula	10	meV/atom
crystal system	trigonal
formation energy from the elements	45.6	meV per atom
total magnetic moment	0.0	μB/cell



CdIn2Pb: optimized geometry, GGA-PBEsol.

Geometry as POSCAR:
```
CdIn2Pb
1.0
3.2689 -0.0074 0.0000
-1.3880 2.9596 0.0000
0.0000 0.0000 10.6670
In Cd Pb
2 1 1
direct
0.5000 0.5000 0.7574
0.0000 0.0000 0.0078
0.5000 0.5000 0.2427
0.0000 0.0000 0.4921
```

Results
crystal system	orthorhombic
formation energy from the elements	54.2	meV per atom
total magnetic moment	0.0	μB/cell



CdIn2Pb: optimized geometry, GGA-PBEsol.

Geometry as POSCAR:
```
CdIn2Pb
1.0
3.6448 0.0000 0.0000
0.0000 3.6448 0.0000
0.0000 0.0000 7.7248
In Pb Cd
2 1 1
direct
0.5000 0.5000 0.2317
0.0000 0.0000 0.9871
0.0000 0.0000 0.5136
0.5000 0.5000 0.7675
```

Results
crystal system	tetragonal
formation energy from the elements	46.0	meV per atom
total magnetic moment	0.0	μB/cell



CdInPb2: optimized geometry, GGA-PBEsol.

Geometry as POSCAR:
```
CdInPb2
1.0
3.3538 0.0000 0.0000
0.0000 3.3538 0.0000
0.0000 0.0000 9.4849
Cd Pb In
1 2 1
direct
0.5000 0.5000 0.0000
0.0000 0.0000 0.7602
0.0000 0.0000 0.2398
0.5000 0.5000 0.5000
```

Results
distance to the lowest polymorph of the same formula	5	meV/atom
crystal system	tetragonal
formation energy from the elements	40.3	meV per atom
total magnetic moment	0.0	μB/cell



CdInPb: optimized geometry, GGA-PBEsol.

Geometry as POSCAR:
```
CdInPb
1.0
3.4307 0.0000 0.0000
0.0000 4.4170 0.0000
-1.7154 -2.2085 5.0738
Cd Pb In
1 1 1
direct
0.0060 0.0060 0.0120
0.3356 0.3356 0.6712
0.6584 0.6584 0.3168
```

Results
distance to the lowest polymorph of the same formula	6	meV/atom
crystal system	orthorhombic
formation energy from the elements	45.5	meV per atom
total magnetic moment	0.0	μB/cell



CdIn2Pb: optimized geometry, GGA-PBEsol.

Geometry as POSCAR:
```
CdIn2Pb
1.0
3.3623 0.0000 0.0000
1.6812 2.9119 0.0000
1.6812 0.9706 10.4206
In Pb Cd
2 1 1
direct
0.2557 0.2557 0.2329
0.7443 0.7443 0.7671
0.5000 0.5000 0.5000
0.0000 0.0000 0.0000
```

Results
crystal system	trigonal
formation energy from the elements	25.0	meV per atom
total magnetic moment	0.0	μB/cell



CdInPb2: optimized geometry, GGA-PBEsol.

Geometry as POSCAR:
```
CdInPb2
1.0
-3.2012 3.1625 2.9068
-4.6554 -1.8865 1.8619
-0.6175 -0.9073 5.2434
Pb Cd In
2 1 1
direct
0.0000 0.0000 0.0000
0.7500 0.7500 0.7500
0.5000 0.5000 0.5000
0.2500 0.2500 0.2500
```

Results
distance to the lowest polymorph of the same formula	27	meV/atom
crystal system	cubic
formation energy from the elements	62.3	meV per atom
total magnetic moment	0.0	μB/cell



CdIn2Pb: optimized geometry, GGA-PBEsol.

Geometry as POSCAR:
```
CdIn2Pb
1.0
4.7710 0.0000 0.0000
0.0000 4.7710 0.0000
-2.3855 -2.3855 4.4764
In Cd Pb
2 1 1
direct
0.7500 0.2500 0.5000
0.0000 0.0000 0.0000
0.2500 0.7500 0.5000
0.5000 0.5000 0.0000
```

Results
crystal system	tetragonal
formation energy from the elements	41.2	meV per atom
total magnetic moment	0.0	μB/cell



CdInPb2: optimized geometry, GGA-PBEsol.

Geometry as POSCAR:
```
CdInPb2
1.0
-1.6857 2.8850 1.8051
-2.3838 -2.4387 1.6715
4.7856 -0.7706 5.7006
Pb Cd In
2 1 1
direct
0.0000 0.0000 0.9787
0.5000 0.5000 0.2780
0.0000 0.0000 0.5143
0.5000 0.5000 0.7289
```

Results
distance to the lowest polymorph of the same formula	11	meV/atom
crystal system	tetragonal
formation energy from the elements	46.2	meV per atom
total magnetic moment	0.0	μB/cell



CdInPb2: optimized geometry, GGA-PBEsol.

Geometry as POSCAR:
```
CdInPb2
1.0
3.4051 0.0000 0.0000
0.0000 4.6301 0.0000
0.0000 0.0000 6.7711
Pb Cd In
2 1 1
direct
0.5000 0.5000 0.2673
0.0000 0.0000 0.9870
0.0000 0.0000 0.5056
0.5000 0.5000 0.7401
```

Results
distance to the lowest polymorph of the same formula	0	meV/atom
crystal system	orthorhombic
formation energy from the elements	35.4	meV per atom
total magnetic moment	0.0	μB/cell



CdIn2Pb: optimized geometry, GGA-PBEsol.

Geometry as POSCAR:
```
CdIn2Pb
1.0
-2.5418 -2.0995 1.4330
3.6739 -2.4572 2.9166
-1.3035 5.8711 1.7810
Cd In Pb
1 2 1
direct
0.5000 0.0000 0.0000
0.2367 0.2367 0.4734
0.7633 0.7633 0.5266
0.0000 0.5000 0.0000
```

Results
crystal system	orthorhombic
formation energy from the elements	48.5	meV per atom
total magnetic moment	0.0	μB/cell



CdIn2Pb: optimized geometry, GGA-PBEsol.

Geometry as POSCAR:
```
CdIn2Pb
1.0
-0.8513 -2.6517 1.7087
4.9985 -1.2060 0.6189
0.3764 3.9691 4.6947
In Pb Cd
2 1 1
direct
0.1544 0.0000 0.2593
0.8456 0.0000 0.7407
0.5000 0.5000 0.0000
0.0000 0.5000 0.5000
```

Results
crystal system	monoclinic
formation energy from the elements	51.7	meV per atom
total magnetic moment	0.0	μB/cell



CdInPb2: optimized geometry, GGA-PBEsol.

Geometry as POSCAR:
```
CdInPb2
1.0
-2.0448 1.0655 -2.4507
-0.5677 -3.0423 1.3208
-6.5140 4.4071 7.3511
Pb Cd In
2 1 1
direct
0.0000 0.0000 0.0079
0.5000 0.5000 0.7352
0.0000 0.0000 0.4922
0.5000 0.5000 0.2647
```

Results
distance to the lowest polymorph of the same formula	24	meV/atom
crystal system	orthorhombic
formation energy from the elements	59.7	meV per atom
total magnetic moment	0.0	μB/cell



CdInPb2: optimized geometry, GGA-PBEsol.

Geometry as POSCAR:
```
CdInPb2
1.0
-4.0055 0.7515 2.4613
1.2966 -3.3441 3.1310
3.5555 4.5682 -0.2131
Pb Cd In
2 1 1
direct
0.0000 0.0000 0.0000
0.7500 0.2500 0.5000
0.5000 0.5000 0.0000
0.2500 0.7500 0.5000
```

Results
distance to the lowest polymorph of the same formula	10	meV/atom
crystal system	tetragonal
formation energy from the elements	45.5	meV per atom
total magnetic moment	0.0	μB/cell



CdInPb: optimized geometry, GGA-PBEsol.

Geometry as POSCAR:
```
CdInPb
1.0
3.3167 0.0000 0.0000
0.0000 3.3167 0.0000
-1.6583 -1.6583 6.9389
In Pb Cd
1 1 1
direct
0.6559 0.6559 0.3119
0.3395 0.3395 0.6789
0.0046 0.0046 0.0092
```

Results
distance to the lowest polymorph of the same formula	0	meV/atom
crystal system	tetragonal
formation energy from the elements	39.3	meV per atom
total magnetic moment	0.0	μB/cell



CdIn2Pb: optimized geometry, GGA-PBEsol.

Geometry as POSCAR:
```
CdIn2Pb
1.0
-2.3876 -2.1988 -0.2264
2.7795 -1.1810 1.2110
-3.2185 2.4847 9.8100
Pb In Cd
1 2 1
direct
0.5000 0.5000 0.5000
0.0000 0.0000 0.2362
0.0000 0.0000 0.7638
0.5000 0.5000 0.0000
```

Results
crystal system	orthorhombic
formation energy from the elements	54.9	meV per atom
total magnetic moment	0.0	μB/cell



CdIn2Pb: optimized geometry, GGA-PBEsol.

Geometry as POSCAR:
```
CdIn2Pb
1.0
3.3222 0.0000 0.0000
-1.6611 5.3999 -0.0439
0.0000 -1.1492 5.7098
Pb In Cd
1 2 1
direct
0.5042 0.0084 0.5050
0.9953 0.9905 0.9969
0.7468 0.4937 0.2406
0.2537 0.5074 0.7575
```

Results
crystal system	monoclinic
formation energy from the elements	40.4	meV per atom
total magnetic moment	0.0	μB/cell